Entry 1:
{"formula": "Ce2InRu2", "functional": "PBE", "state": "optimized geometry", "cell": [[4.783, 0.000, 0.000], [-0.007, 4.959, 0.000], [-2.382, -1.271, 5.071]], "species": ["Ce", "Ce", "In", "Ru", "Ru"], "frac_coords": [[0.177, 0.187, 0.353], [0.823, 0.813, 0.647], [0.500, 0.500, 0.000], [0.121, 0.704, 0.242], [0.879, 0.296, 0.758]], "dft_energy_ev_per_cell": -35.14, "spacegroup": "No. 2", "dos_ef_per_ev_fu": 4.07}


Entry 2:
{"formula": "CeInRu", "functional": "PBE", "state": "optimized geometry", "cell": [[-1.629, 1.629, 6.043], [1.629, -1.629, 6.043], [1.629, 1.629, -6.043]], "species": ["Ce", "In", "Ru"], "frac_coords": [[0.000, 0.000, 0.000], [0.716, 0.716, 0.000], [0.355, 0.355, 0.000]], "dft_energy_ev_per_cell": -18.74, "spacegroup": "No. 107", "dos_ef_per_ev_fu": 3.58}


Entry 3:
{"formula": "Ce5InRu", "functional": "PBE", "state": "optimized geometry", "cell": [[4.934, 0.000, 0.000], [0.000, 4.934, 0.000], [0.000, 0.000, 7.670]], "species": ["Ce", "Ce", "Ce", "Ce", "Ce", "In", "Ru"], "frac_coords": [[0.000, 0.000, 0.000], [0.000, 0.500, 0.298], [0.000, 0.500, 0.702], [0.500, 0.000, 0.298], [0.500, 0.000, 0.702], [0.500, 0.500, 0.000], [0.000, 0.000, 0.500]], "dft_energy_ev_per_cell": -43.00, "spacegroup": "No. 123", "dos_ef_per_ev_fu": 17.96}


Entry 4:
{"formula": "Ce7In2Ru2", "functional": "PBE", "state": "optimized geometry", "cell": [[5.709, -3.977, 0.000], [5.709, 3.977, 0.000], [-0.025, 0.000, 6.789]], "species": ["Ce", "Ce", "Ce", "Ce", "Ce", "Ce", "Ce", "In", "In", "Ru", "Ru"], "frac_coords": [[0.000, 0.000, 0.000], [0.001, 0.500, 0.729], [0.500, 0.001, 0.729], [0.500, 0.500, 0.204], [0.500, 0.500, 0.796], [0.500, 0.999, 0.271], [0.999, 0.500, 0.271], [0.178, 0.822, 0.500], [0.822, 0.178, 0.500], [0.266, 0.266, 0.001], [0.734, 0.734, 0.999]], "dft_energy_ev_per_cell": -67.32, "spacegroup": "No. 12", "dos_ef_per_ev_fu": 31.68}